Model 1:
# TaCoB4

A relaxed TaCoB4 crystal (GGA-PBE, OQMD).

Geometry as POSCAR:
```
TaCoB4
1.0
-3.216 0.101 3.079
1.661 3.482 2.224
-1.804 -0.991 -3.949
B Co Ta
4 1 1
Cartesian
-2.021 0.591 1.021
0.405 2.310 0.635
-3.764 0.282 0.719
-1.337 2.001 0.332
0.000 0.000 0.000
-0.777 1.792 2.652
```

Output
Space-group type: No. 71

Model 2:
# TaCoB4

A relaxed TaCoB4 crystal (GGA-PBE, OQMD).

Geometry as POSCAR:
```
TaCoB4
1.0
-2.006 1.444 1.852
-1.018 -1.540 -2.476
-0.519 -4.915 3.270
B Co Ta
4 1 1
Cartesian
-1.794 -0.660 1.148
-1.464 -1.655 -0.295
-2.078 -3.356 2.941
-1.749 -4.351 1.498
0.000 0.000 0.000
-0.260 -2.457 1.635
```

Output
Space-group type: No. 191

Stability summary: most stable model 2, least stable model 1.

Model 1:
# TaCoTcB

A relaxed TaCoTcB crystal (GGA-PBE, OQMD).

Geometry as POSCAR:
```
TaCoTcB
1.0
0.000 2.922 2.922
2.922 0.000 2.922
2.922 2.922 0.000
B Co Ta Tc
1 1 1 1
Cartesian
0.000 0.000 0.000
4.384 4.384 4.384
2.922 2.922 2.922
1.461 1.461 1.461
```

Output
Space-group type: No. 216

Model 2:
# TaCoTcB

A relaxed TaCoTcB crystal (GGA-PBE, OQMD).

Geometry as POSCAR:
```
TaCoTcB
1.0
1.310 -2.032 3.414
0.595 2.086 3.577
-2.609 -0.581 3.218
B Co Ta Tc
1 1 1 1
Cartesian
0.000 0.000 0.000
-0.528 -0.395 7.657
-0.176 -0.132 2.552
-0.352 -0.263 5.105
```

Output
Space-group type: No. 216

Stability summary: most stable model 1, least stable model 2.